# BaIrSeBr2 | the Alexandria database | SCAN | single point on PBEsol structure
data_BaIrSeBr2
_cell_length_a 5.1721
_cell_length_b 5.1721
_cell_length_c 4.8748
_cell_angle_alpha 90.00
_cell_angle_beta 90.00
_cell_angle_gamma 90.00
_symmetry_space_group_name_H-M 'P 4/m m m'
_symmetry_Int_Tables_number 123
_symmetry_space_group_name_Hall '-P 4 2'
loop_
_atom_site_label
_atom_site_type_symbol
_atom_site_fract_x
_atom_site_fract_y
_atom_site_fract_z
Ba1 Ba 0.0000 0.0000 0.0000
Ir1 Ir 0.5000 0.5000 0.5000
Se1 Se 0.5000 0.5000 0.0000
Br1 Br 0.0000 0.5000 0.5000
# Raw formation energy (eV per atom): -0.872
# Calculated volume (Å³/cell): 130.4
# ρ (g cm⁻³): 7.24
# Energy above the lowest structure with this stoichiometry (kJ per mole of atoms): 0.0
# DFT total energy (eV/atom): -34.802